## LaZn2BrF (GGA-PBEsol)

Data for a relaxed structure of LaZn2BrF.

Lattice parameters (Å, degrees): 4.769 4.769 5.265 90.00 90.00 90.00
Fractional coordinates of all 5 atoms:
La: 0.000 0.000 0.000
Zn: 0.000 0.500 0.500
Zn: 0.500 0.000 0.500
Br: 0.500 0.500 0.500
F: 0.500 0.500 0.000

Results
DOS(E_F) = 4.3 states/eV/cell
ΔE_f (raw) = -0.163 eV per atom

***

## Li2MgBrF (GGA-PBEsol)

Data for a relaxed structure of Li2MgBrF.

Lattice parameters (Å, degrees): 4.806 4.806 4.104 90.00 90.00 90.00
Fractional coordinates of all 5 atoms:
Li: 0.000 0.500 0.000
Li: 0.500 0.000 0.000
Mg: 0.000 0.000 0.500
Br: 0.500 0.500 0.500
F: 0.000 0.000 0.000

Results
DOS(E_F) = 1.0 states/eV/cell
ΔE_f (raw) = -1.213 eV per atom

***

## MgBrN2F (GGA-PBEsol)

Data for a relaxed structure of MgBrN2F.

Lattice parameters (Å, degrees): 4.306 4.306 3.685 90.00 90.00 90.00
Fractional coordinates of all 5 atoms:
Mg: 0.000 0.000 0.000
Br: 0.500 0.500 0.500
N: 0.000 0.500 0.000
N: 0.500 0.000 0.000
F: 0.000 0.000 0.500

Results
DOS(E_F) = 2.8 states/eV/cell
ΔE_f (raw) = 0.630 eV per atom

***

## MnBr3F (GGA-PBEsol)

Data for a relaxed structure of MnBr3F.

Lattice parameters (Å, degrees): 4.883 4.883 4.883 90.00 90.00 90.00
Fractional coordinates of all 5 atoms:
Mn: 0.000 0.000 0.000
Br: 0.000 0.000 0.500
Br: 0.000 0.500 0.000
Br: 0.500 0.000 0.000
F: 0.500 0.500 0.500

Results
DOS(E_F) = 9.9 states/eV/cell
ΔE_f (raw) = -0.223 eV per atom

***

## MnBrO2F (GGA-PBEsol)

Data for a relaxed structure of MnBrO2F.

Lattice parameters (Å, degrees): 3.794 3.794 5.130 90.00 90.00 90.00
Fractional coordinates of all 5 atoms:
Mn: 0.000 0.000 0.000
Br: 0.500 0.500 0.500
O: 0.000 0.500 0.500
O: 0.500 0.000 0.500
F: 0.500 0.500 0.000

Results
DOS(E_F) = 1.7 states/eV/cell
ΔE_f (raw) = 0.200 eV per atom

***

## MnBrOF2 (GGA-PBEsol)

Data for a relaxed structure of MnBrOF2.

Lattice parameters (Å, degrees): 4.046 4.046 3.753 90.00 90.00 90.00
Fractional coordinates of all 5 atoms:
Mn: 0.000 0.000 0.000
Br: 0.500 0.500 0.500
O: 0.000 0.000 0.500
F: 0.000 0.500 0.000
F: 0.500 0.000 0.000

Results
DOS(E_F) = 2.4 states/eV/cell
ΔE_f (raw) = -1.072 eV per atom

***

## MnPdBrF2 (GGA-PBEsol)

Data for a relaxed structure of MnPdBrF2.

Lattice parameters (Å, degrees): 4.353 4.353 4.817 90.00 90.00 90.00
Fractional coordinates of all 5 atoms:
Mn: 0.000 0.000 0.000
Pd: 0.500 0.500 0.000
Br: 0.500 0.500 0.500
F: 0.000 0.500 0.500
F: 0.500 0.000 0.500

Results
DOS(E_F) = 2.3 states/eV/cell
ΔE_f (raw) = 0.120 eV per atom

***

## MoBrF3 (GGA-PBEsol)

Data for a relaxed structure of MoBrF3.

Lattice parameters (Å, degrees): 4.480 4.480 4.480 90.00 90.00 90.00
Fractional coordinates of all 5 atoms:
Mo: 0.000 0.000 0.000
Br: 0.500 0.500 0.500
F: 0.000 0.500 0.500
F: 0.500 0.000 0.500
F: 0.500 0.500 0.000

Results
DOS(E_F) = 8.8 states/eV/cell
ΔE_f (raw) = 0.313 eV per atom

***

## MoBrN2F (GGA-PBEsol)

Data for a relaxed structure of MoBrN2F.

Lattice parameters (Å, degrees): 3.994 3.994 4.022 90.00 90.00 90.00
Fractional coordinates of all 5 atoms:
Mo: 0.000 0.000 0.000
Br: 0.500 0.500 0.500
N: 0.000 0.500 0.500
N: 0.500 0.000 0.500
F: 0.500 0.500 0.000

Results
DOS(E_F) = 2.2 states/eV/cell
ΔE_f (raw) = 1.849 eV per atom

***

## MoBr2NF (GGA-PBEsol)

Data for a relaxed structure of MoBr2NF.

Lattice parameters (Å, degrees): 5.211 5.211 3.336 90.00 90.00 90.00
Fractional coordinates of all 5 atoms:
Mo: 0.000 0.000 0.000
Br: 0.000 0.500 0.500
Br: 0.500 0.000 0.500
N: 0.500 0.500 0.000
F: 0.500 0.500 0.500

Results
DOS(E_F) = 2.9 states/eV/cell
ΔE_f (raw) = 1.449 eV per atom

***

## MoP2BrF (GGA-PBEsol)

Data for a relaxed structure of MoP2BrF.

Lattice parameters (Å, degrees): 4.783 4.783 3.877 90.00 90.00 90.00
Fractional coordinates of all 5 atoms:
Mo: 0.000 0.000 0.000
P: 0.000 0.500 0.500
P: 0.500 0.000 0.500
Br: 0.500 0.500 0.000
F: 0.000 0.000 0.500

Results
DOS(E_F) = 3.8 states/eV/cell
ΔE_f (raw) = 0.940 eV per atom

***

## PBrN2F (GGA-PBEsol)

Data for a relaxed structure of PBrN2F.

Lattice parameters (Å, degrees): 3.639 3.639 3.799 90.00 90.00 90.00
Fractional coordinates of all 5 atoms:
P: 0.000 0.000 0.000
Br: 0.500 0.500 0.500
N: 0.000 0.500 0.000
N: 0.500 0.000 0.000
F: 0.000 0.000 0.500

Results
DOS(E_F) = 2.5 states/eV/cell
ΔE_f (raw) = 0.671 eV per atom

***

## PBrNF (GGA-PBEsol)

Data for a relaxed structure of PBrNF.

Lattice parameters (Å, degrees): 8.039 8.039 8.238 90.00 90.00 77.80
Fractional coordinates of all 24 atoms:
P: 0.166 0.834 0.500
P: 0.197 0.582 0.269
P: 0.418 0.803 0.269
P: 0.582 0.197 0.769
P: 0.803 0.418 0.769
P: 0.834 0.166 0.000
Br: 0.242 0.758 0.746
Br: 0.261 0.316 0.336
Br: 0.316 0.261 0.836
Br: 0.684 0.739 0.336
Br: 0.739 0.684 0.836
Br: 0.758 0.242 0.246
N: 0.090 0.692 0.410
N: 0.308 0.910 0.410
N: 0.357 0.643 0.196
N: 0.643 0.357 0.696
N: 0.692 0.090 0.910
N: 0.910 0.308 0.910
F: 0.014 0.986 0.534
F: 0.070 0.576 0.127
F: 0.424 0.930 0.127
F: 0.576 0.070 0.627
F: 0.930 0.424 0.627
F: 0.986 0.014 0.034

Results
DOS(E_F) = 0.0 states/eV/cell
ΔE_f (raw) = -1.065 eV per atom

***

## PtBrN2F (GGA-PBEsol)

Data for a relaxed structure of PtBrN2F.

Lattice parameters (Å, degrees): 3.656 3.656 7.396 90.00 90.00 90.00
Fractional coordinates of all 5 atoms:
Pt: 0.000 0.000 0.000
Br: 0.000 0.000 0.500
N: 0.000 0.500 0.000
N: 0.500 0.000 0.000
F: 0.500 0.500 0.500

Results
DOS(E_F) = 3.3 states/eV/cell
ΔE_f (raw) = 0.960 eV per atom

***

## RbBrNF2 (GGA-PBEsol)

Data for a relaxed structure of RbBrNF2.

Lattice parameters (Å, degrees): 5.022 5.022 5.691 90.00 90.00 90.00
Fractional coordinates of all 5 atoms:
Rb: 0.000 0.000 0.000
Br: 0.500 0.500 0.500
N: 0.000 0.000 0.500
F: 0.000 0.500 0.000
F: 0.500 0.000 0.000

Results
DOS(E_F) = 8.2 states/eV/cell
ΔE_f (raw) = 0.442 eV per atom

***

## SeBrN2F (GGA-PBEsol)

Data for a relaxed structure of SeBrN2F.

Lattice parameters (Å, degrees): 3.639 3.639 6.236 90.00 90.00 90.00
Fractional coordinates of all 5 atoms:
Se: 0.000 0.000 0.000
Br: 0.000 0.000 0.500
N: 0.000 0.500 0.500
N: 0.500 0.000 0.500
F: 0.500 0.500 0.000

Results
DOS(E_F) = 2.7 states/eV/cell
ΔE_f (raw) = 1.928 eV per atom

***

## SrBrNF2 (GGA-PBEsol)

Data for a relaxed structure of SrBrNF2.

Lattice parameters (Å, degrees): 4.537 4.537 5.949 90.00 90.00 90.00
Fractional coordinates of all 5 atoms:
Sr: 0.000 0.000 0.000
Br: 0.500 0.500 0.500
N: 0.000 0.000 0.500
F: 0.000 0.500 0.000
F: 0.500 0.000 0.000

Results
DOS(E_F) = 8.4 states/eV/cell
ΔE_f (raw) = -0.801 eV per atom

***

## SrBrN2F (GGA-PBEsol)

Data for a relaxed structure of SrBrN2F.

Lattice parameters (Å, degrees): 5.269 5.269 4.441 90.00 90.00 90.00
Fractional coordinates of all 5 atoms:
Sr: 0.000 0.000 0.000
Br: 0.500 0.500 0.500
N: 0.000 0.500 0.000
N: 0.500 0.000 0.000
F: 0.000 0.000 0.500

Results
DOS(E_F) = 6.2 states/eV/cell
ΔE_f (raw) = 0.593 eV per atom

***

## WBrN2F (GGA-PBEsol)

Data for a relaxed structure of WBrN2F.

Lattice parameters (Å, degrees): 4.010 4.010 3.974 90.00 90.00 90.00
Fractional coordinates of all 5 atoms:
W: 0.000 0.000 0.000
Br: 0.500 0.500 0.500
N: 0.000 0.500 0.500
N: 0.500 0.000 0.500
F: 0.500 0.500 0.000

Results
DOS(E_F) = 2.6 states/eV/cell
ΔE_f (raw) = 2.175 eV per atom

***

## WBrNF2 (GGA-PBEsol)

Data for a relaxed structure of WBrNF2.

Lattice parameters (Å, degrees): 4.084 4.084 3.928 90.00 90.00 90.00
Fractional coordinates of all 5 atoms:
W: 0.000 0.000 0.000
Br: 0.500 0.500 0.500
N: 0.000 0.000 0.500
F: 0.000 0.500 0.000
F: 0.500 0.000 0.000

Results
DOS(E_F) = 4.9 states/eV/cell
ΔE_f (raw) = -0.720 eV per atom

***

## NaBrF2 (GGA-PBEsol)

Data for a relaxed structure of NaBrF2.

Lattice parameters (Å, degrees): 3.757 3.757 17.750 90.00 90.00 120.00
Fractional coordinates of all 12 atoms:
Na: 0.000 0.000 0.000
Na: 0.333 0.667 0.667
Na: 0.667 0.333 0.333
Br: 0.000 0.000 0.500
Br: 0.333 0.667 0.167
Br: 0.667 0.333 0.833
F: 0.000 0.000 0.388
F: 0.000 0.000 0.612
F: 0.333 0.667 0.055
F: 0.333 0.667 0.279
F: 0.667 0.333 0.721
F: 0.667 0.333 0.945

Results
DOS(E_F) = 0.0 states/eV/cell
ΔE_f (raw) = -1.690 eV per atom

***

## Na2BrF (GGA-PBEsol)

Data for a relaxed structure of Na2BrF.

Lattice parameters (Å, degrees): 6.556 6.556 7.872 90.00 90.00 90.00
Fractional coordinates of all 16 atoms:
Na: 0.167 0.750 0.125
Na: 0.250 0.167 0.875
Na: 0.250 0.333 0.375
Na: 0.333 0.750 0.625
Na: 0.667 0.250 0.625
Na: 0.750 0.667 0.375
Na: 0.750 0.833 0.875
Na: 0.833 0.250 0.125
Br: 0.000 0.000 0.500
Br: 0.000 0.500 0.750
Br: 0.500 0.000 0.250
Br: 0.500 0.500 0.000
F: 0.000 0.000 0.000
F: 0.000 0.500 0.250
F: 0.500 0.000 0.750
F: 0.500 0.500 0.500

Results
DOS(E_F) = 0.0 states/eV/cell
ΔE_f (raw) = -2.050 eV per atom

***

## NbBr2F (GGA-PBEsol)

Data for a relaxed structure of NbBr2F.

Lattice parameters (Å, degrees): 9.615 9.615 4.126 90.00 90.00 90.00
Fractional coordinates of all 16 atoms:
Nb: 0.000 0.000 0.000
Nb: 0.000 0.500 0.250
Nb: 0.500 0.000 0.750
Nb: 0.500 0.500 0.500
Br: 0.097 0.750 0.125
Br: 0.250 0.097 0.875
Br: 0.250 0.403 0.375
Br: 0.403 0.750 0.625
Br: 0.597 0.250 0.625
Br: 0.750 0.597 0.375
Br: 0.750 0.903 0.875
Br: 0.903 0.250 0.125
F: 0.000 0.000 0.500
F: 0.000 0.500 0.750
F: 0.500 0.000 0.250
F: 0.500 0.500 0.000

Results
DOS(E_F) = 7.8 states/eV/cell
ΔE_f (raw) = -1.244 eV per atom

***

## NbBr2F (GGA-PBEsol)

Data for a relaxed structure of NbBr2F.

Lattice parameters (Å, degrees): 3.429 3.429 24.922 90.00 90.00 120.00
Fractional coordinates of all 12 atoms:
Nb: 0.000 0.000 0.000
Nb: 0.333 0.667 0.667
Nb: 0.667 0.333 0.333
Br: 0.000 0.000 0.095
Br: 0.000 0.000 0.905
Br: 0.333 0.667 0.572
Br: 0.333 0.667 0.761
Br: 0.667 0.333 0.239
Br: 0.667 0.333 0.428
F: 0.000 0.000 0.500
F: 0.333 0.667 0.167
F: 0.667 0.333 0.833

Results
DOS(E_F) = 15.2 states/eV/cell
ΔE_f (raw) = -0.078 eV per atom

***

## NiBrO2F (GGA-PBEsol)

Data for a relaxed structure of NiBrO2F.

Lattice parameters (Å, degrees): 3.791 3.791 3.749 90.00 90.00 90.00
Fractional coordinates of all 5 atoms:
Ni: 0.000 0.000 0.000
Br: 0.500 0.500 0.500
O: 0.000 0.500 0.000
O: 0.500 0.000 0.000
F: 0.000 0.000 0.500

Results
DOS(E_F) = 4.1 states/eV/cell
ΔE_f (raw) = -0.156 eV per atom

***

## NiWBr2F (GGA-PBEsol)

Data for a relaxed structure of NiWBr2F.

Lattice parameters (Å, degrees): 5.018 5.018 3.954 90.00 90.00 90.00
Fractional coordinates of all 5 atoms:
Ni: 0.000 0.000 0.000
W: 0.500 0.500 0.500
Br: 0.000 0.500 0.500
Br: 0.500 0.000 0.500
F: 0.500 0.500 0.000

Results
DOS(E_F) = 10.2 states/eV/cell
ΔE_f (raw) = 0.415 eV per atom

***

## BrOF3 (GGA-PBEsol)

Data for a relaxed structure of BrOF3.

Lattice parameters (Å, degrees): 3.890 3.890 3.890 90.00 90.00 90.00
Fractional coordinates of all 5 atoms:
Br: 0.000 0.000 0.000
O: 0.500 0.500 0.500
F: 0.000 0.500 0.500
F: 0.500 0.000 0.500
F: 0.500 0.500 0.000

Results
DOS(E_F) = 3.0 states/eV/cell
ΔE_f (raw) = 0.510 eV per atom

***

## PBrOF2 (GGA-PBEsol)

Data for a relaxed structure of PBrOF2.

Lattice parameters (Å, degrees): 3.851 3.851 4.261 90.00 90.00 90.00
Fractional coordinates of all 5 atoms:
P: 0.000 0.000 0.000
Br: 0.500 0.500 0.500
O: 0.000 0.000 0.500
F: 0.000 0.500 0.000
F: 0.500 0.000 0.000

Results
DOS(E_F) = 1.9 states/eV/cell
ΔE_f (raw) = -0.586 eV per atom